1.
! InFe2 | Alexandria | PBE | optimized geometry; values from VASP
! ΔH_f (0 K) (eV per atom): 0.25
! Spin magnetization (μB/f.u.): 4.9
! DOS(E_F) (states/eV/cell): 2.13
! DFT total energy (eV per atom): -6.301
! ρ (g/cm3): 8.35
&SYSTEM
  ibrav = 0, nat = 3, ntyp = 2
/
ATOMIC_SPECIES
In 114.82 In.upf
Fe 55.84 Fe.upf
CELL_PARAMETERS angstrom
4.3371 0.0000 0.0000
-2.1685 3.7560 0.0000
0.0000 0.0000 2.7661
ATOMIC_POSITIONS crystal
In 0.0000 0.0000 0.0000
Fe 0.3333 0.6667 0.5000
Fe 0.6667 0.3333 0.5000

2.
! TbCo3Ge3 | Alexandria | PBE | optimized geometry; values from VASP
! ΔH_f (0 K) (eV per atom): -0.33
! Spin magnetization (μB/f.u.): 0.0
! Polymorph energy (0 for the lowest one) (eV per formula unit): 0.00
! DOS(E_F) (states/eV/cell): 7.92
! DFT total energy (eV per atom): -6.015
! ρ (g/cm3): 7.91
&SYSTEM
  ibrav = 0, nat = 14, ntyp = 3
/
ATOMIC_SPECIES
Tb 158.93 Tb.upf
Co 58.93 Co.upf
Ge 72.64 Ge.upf
CELL_PARAMETERS angstrom
8.1510 0.0000 0.0000
-4.0755 7.0590 0.0000
0.0000 0.0000 4.0406
ATOMIC_POSITIONS crystal
Tb 0.3333 0.6667 0.2500
Tb 0.6667 0.3333 0.7500
Co 0.0614 0.2051 0.2500
Co 0.1437 0.9386 0.2500
Co 0.2051 0.1437 0.7500
Co 0.7949 0.8563 0.2500
Co 0.8563 0.0614 0.7500
Co 0.9386 0.7949 0.7500
Ge 0.1016 0.3786 0.7500
Ge 0.2769 0.8984 0.7500
Ge 0.3786 0.2769 0.2500
Ge 0.6214 0.7231 0.7500
Ge 0.7231 0.1016 0.2500
Ge 0.8984 0.6214 0.2500

3.
! Pu2P7Pd12 | Alexandria | PBE | optimized geometry; values from VASP
! ΔH_f (0 K) (eV per atom): -0.61
! Spin magnetization (μB/f.u.): 11.4
! DOS(E_F) (states/eV/cell): 28.06
! DFT total energy (eV per atom): -6.750
! ρ (g/cm3): 9.90
&SYSTEM
  ibrav = 0, nat = 21, ntyp = 3
/
ATOMIC_SPECIES
Pu 244.00 Pu.upf
P 30.97 P.upf
Pd 106.42 Pd.upf
CELL_PARAMETERS angstrom
9.7909 0.0000 0.0000
-4.8955 8.4792 0.0000
0.0000 0.0000 4.0023
ATOMIC_POSITIONS crystal
Pu 0.3333 0.6667 0.2496
Pu 0.6667 0.3333 0.7504
P 0.0000 0.0000 0.0000
P 0.1275 0.4197 0.7469
P 0.2921 0.8725 0.7469
P 0.4197 0.2921 0.2531
P 0.5803 0.7079 0.7469
P 0.7079 0.1275 0.2531
P 0.8725 0.5803 0.2531
Pd 0.0512 0.6181 0.7512
Pd 0.0948 0.8462 0.2592
Pd 0.1538 0.2486 0.2592
Pd 0.2486 0.0948 0.7408
Pd 0.3819 0.4331 0.7512
Pd 0.4331 0.0512 0.2488
Pd 0.5669 0.9488 0.7512
Pd 0.6181 0.5669 0.2488
Pd 0.7514 0.9052 0.2592
Pd 0.8462 0.7514 0.7408
Pd 0.9052 0.1538 0.7408
Pd 0.9488 0.3819 0.2488

4.
! ScTlW3 | Alexandria | PBE | optimized geometry; values from VASP
! ΔH_f (0 K) (eV per atom): 2.39
! Spin magnetization (μB/f.u.): 0.0
! Polymorph energy (0 for the lowest one) (eV per formula unit): 0.00
! DOS(E_F) (states/eV/cell): 3.10
! DFT total energy (eV per atom): -7.119
! ρ (g/cm3): 12.77
&SYSTEM
  ibrav = 0, nat = 5, ntyp = 3
/
ATOMIC_SPECIES
Sc 44.96 Sc.upf
Tl 204.38 Tl.upf
W 183.84 W.upf
CELL_PARAMETERS angstrom
4.7050 0.0000 0.0000
0.0000 4.7050 0.0000
0.0000 0.0000 4.7050
ATOMIC_POSITIONS crystal
Sc 0.0000 0.0000 0.0000
Tl 0.5000 0.5000 0.5000
W 0.0000 0.0000 0.5000
W 0.0000 0.5000 0.0000
W 0.5000 0.0000 0.0000

5.
! Ti3ReIr2 | Alexandria | PBE | optimized geometry; values from VASP
! ΔH_f (0 K) (eV per atom): -0.78
! Spin magnetization (μB/f.u.): 0.0
! Polymorph energy (0 for the lowest one) (eV per formula unit): 0.00
! DOS(E_F) (states/eV/cell): 1.79
! DFT total energy (eV per atom): -9.758
! ρ (g/cm3): 13.15
&SYSTEM
  ibrav = 0, nat = 6, ntyp = 3
/
ATOMIC_SPECIES
Ti 47.87 Ti.upf
Re 186.21 Re.upf
Ir 192.22 Ir.upf
CELL_PARAMETERS angstrom
2.1670 -6.4900 0.0000
2.1670 6.4900 0.0000
0.0000 0.0000 3.2067
ATOMIC_POSITIONS crystal
Ti 0.0000 0.0000 0.0000
Ti 0.3358 0.6642 0.0000
Ti 0.6642 0.3358 0.0000
Re 0.5000 0.5000 0.5000
Ir 0.1680 0.8320 0.5000
Ir 0.8320 0.1680 0.5000

6.
! CuTc2W | Alexandria | PBE | optimized geometry; values from VASP
! ΔH_f (0 K) (eV per atom): 0.24
! Spin magnetization (μB/f.u.): 0.0
! Polymorph energy (0 for the lowest one) (eV per formula unit): 0.34
! DOS(E_F) (states/eV/cell): 5.94
! DFT total energy (eV per atom): -9.203
! ρ (g/cm3): 12.70
&SYSTEM
  ibrav = 0, nat = 4, ntyp = 3
/
ATOMIC_SPECIES
Cu 63.55 Cu.upf
Tc 98.00 Tc.upf
W 183.84 W.upf
CELL_PARAMETERS angstrom
2.7579 0.0000 0.0000
0.0000 2.7579 0.0000
0.0000 0.0000 7.6233
ATOMIC_POSITIONS crystal
Cu 0.0000 0.0000 0.0000
Tc 0.0000 0.0000 0.4839
Tc 0.5000 0.5000 0.2477
W 0.5000 0.5000 0.7529

7.
! CaGa3Pt | Alexandria | PBE | optimized geometry; values from VASP
! ΔH_f (0 K) (eV per atom): 1.18
! Spin magnetization (μB/f.u.): 0.0
! Polymorph energy (0 for the lowest one) (eV per formula unit): 9.21
! DOS(E_F) (states/eV/cell): 5.64
! DFT total energy (eV per atom): -2.247
! ρ (g/cm3): 4.87
&SYSTEM
  ibrav = 0, nat = 5, ntyp = 3
/
ATOMIC_SPECIES
Ca 40.08 Ca.upf
Ga 69.72 Ga.upf
Pt 195.08 Pt.upf
CELL_PARAMETERS angstrom
5.3326 0.0000 0.0000
0.0000 5.3326 0.0000
0.0000 0.0000 5.3326
ATOMIC_POSITIONS crystal
Ca 0.0000 0.0000 0.0000
Ga 0.0000 0.0000 0.5000
Ga 0.0000 0.5000 0.0000
Ga 0.5000 0.0000 0.0000
Pt 0.5000 0.5000 0.5000

8.
! BiSb2Se | Alexandria | PBE | optimized geometry; values from VASP
! E_form (uncorrected) (meV/atom): -50
! Spin magnetization (μB/f.u.): 0.0
! Polymorph energy (0 for the lowest one) (eV per formula unit): 0.02
! DOS(E_F) (states/eV/cell): 1.71
! DFT total energy (eV per atom): -3.952
! ρ (g/cm3): 7.37
&SYSTEM
  ibrav = 0, nat = 4, ntyp = 3
/
ATOMIC_SPECIES
Bi 208.98 Bi.upf
Sb 121.76 Sb.upf
Se 78.96 Se.upf
CELL_PARAMETERS angstrom
4.5393 0.0000 0.0000
0.0000 4.1856 0.0000
-0.0286 0.0000 6.3045
ATOMIC_POSITIONS crystal
Bi 0.0000 0.0000 0.0000
Sb 0.0349 0.0000 0.5006
Sb 0.4882 0.5000 0.5016
Se 0.4993 0.5000 0.0019

9.
! Rb2ReHg | Alexandria | PBE | optimized geometry; values from VASP
! ΔH_f (0 K) (eV per atom): 1.54
! Spin magnetization (μB/f.u.): 2.3
! DOS(E_F) (states/eV/cell): 8.13
! DFT total energy (eV per atom): -2.126
! ρ (g/cm3): 7.70
&SYSTEM
  ibrav = 0, nat = 8, ntyp = 3
/
ATOMIC_SPECIES
Rb 85.47 Rb.upf
Re 186.21 Re.upf
Hg 200.59 Hg.upf
CELL_PARAMETERS angstrom
-2.2180 2.2180 12.2205
2.2180 -2.2180 12.2205
2.2180 2.2180 -12.2205
ATOMIC_POSITIONS crystal
Rb 0.1246 0.6250 0.9996
Rb 0.3750 0.3746 0.4996
Rb 0.6254 0.1250 0.0004
Rb 0.8750 0.8754 0.5004
Re 0.0000 0.0000 0.0000
Re 0.7500 0.2500 0.5000
Hg 0.2500 0.7500 0.5000
Hg 0.5000 0.5000 0.0000

10.
! HoNi6Ge2 | Alexandria | PBE | optimized geometry; values from VASP
! ΔH_f (0 K) (eV per atom): -0.31
! Spin magnetization (μB/f.u.): 0.7
! DOS(E_F) (states/eV/cell): 13.29
! DFT total energy (eV per atom): -5.695
! ρ (g/cm3): 8.86
&SYSTEM
  ibrav = 0, nat = 9, ntyp = 3
/
ATOMIC_SPECIES
Ho 164.93 Ho.upf
Ni 58.69 Ni.upf
Ge 72.64 Ge.upf
CELL_PARAMETERS angstrom
3.9876 0.0000 0.0000
0.0000 3.9876 0.0000
0.0000 0.0000 7.8107
ATOMIC_POSITIONS crystal
Ho 0.0000 0.0000 0.0000
Ni 0.0000 0.0000 0.5000
Ni 0.0000 0.5000 0.3144
Ni 0.0000 0.5000 0.6856
Ni 0.5000 0.0000 0.3144
Ni 0.5000 0.0000 0.6856
Ni 0.5000 0.5000 0.5000
Ge 0.5000 0.5000 0.1617
Ge 0.5000 0.5000 0.8383

11.
! Ti2Cu7PdAu2 | Alexandria | PBE | optimized geometry; values from VASP
! ΔH_f (0 K) (eV per atom): 0.04
! Spin magnetization (μB/f.u.): 0.9
! DOS(E_F) (states/eV/cell): 6.07
! DFT total energy (eV per atom): -4.647
! ρ (g/cm3): 9.68
&SYSTEM
  ibrav = 0, nat = 12, ntyp = 4
/
ATOMIC_SPECIES
Ti 47.87 Ti.upf
Cu 63.55 Cu.upf
Pd 106.42 Pd.upf
Au 196.97 Au.upf
CELL_PARAMETERS angstrom
2.4451 -2.4450 0.0000
2.4451 2.4450 0.0000
-2.4211 0.0000 14.9373
ATOMIC_POSITIONS crystal
Ti 0.1371 0.1371 0.2761
Ti 0.8629 0.8629 0.7239
Cu 0.0000 0.0000 0.0000
Cu 0.0676 0.5676 0.1374
Cu 0.2282 0.2282 0.4587
Cu 0.4324 0.9324 0.8626
Cu 0.5676 0.0676 0.1374
Cu 0.7718 0.7718 0.5413
Cu 0.9324 0.4324 0.8626
Pd 0.5000 0.5000 0.0000
Au 0.3181 0.3181 0.6343
Au 0.6819 0.6819 0.3657

12.
! BaMoCl6 | Alexandria | PBE | optimized geometry; values from VASP
! E_form (uncorrected) (meV/atom): -1435
! Spin magnetization (μB/f.u.): 2.0
! DOS(E_F) (states/eV/cell): 8.34
! DFT total energy (eV per atom): -4.414
! ρ (g/cm3): 3.04
&SYSTEM
  ibrav = 0, nat = 8, ntyp = 3
/
ATOMIC_SPECIES
Ba 137.33 Ba.upf
Mo 95.94 Mo.upf
Cl 35.45 Cl.upf
CELL_PARAMETERS angstrom
6.7344 0.0000 0.0000
3.3612 5.8389 0.0000
3.3585 1.9484 6.1888
ATOMIC_POSITIONS crystal
Ba 0.0000 0.0000 0.0000
Mo 0.5000 0.5000 0.5000
Cl 0.1138 0.6903 0.7226
Cl 0.3090 0.5264 0.2775
Cl 0.4735 0.1135 0.7227
Cl 0.5265 0.8865 0.2773
Cl 0.6910 0.4736 0.7225
Cl 0.8862 0.3097 0.2774

13.
! AcPr3Sm2 | Alexandria | PBE | optimized geometry; values from VASP
! ΔH_f (0 K) (eV per atom): 0.05
! Spin magnetization (μB/f.u.): 0.0
! Polymorph energy (0 for the lowest one) (eV per formula unit): 0.00
! DOS(E_F) (states/eV/cell): 17.31
! DFT total energy (eV per atom): -4.599
! ρ (g/cm3): 7.21
&SYSTEM
  ibrav = 0, nat = 12, ntyp = 3
/
ATOMIC_SPECIES
Ac 227.00 Ac.upf
Pr 140.91 Pr.upf
Sm 150.36 Sm.upf
CELL_PARAMETERS angstrom
5.8897 -3.6456 0.0000
5.8897 3.6456 0.0000
-5.8301 0.0000 10.1926
ATOMIC_POSITIONS crystal
Ac 0.0019 0.9981 0.7500
Ac 0.9981 0.0019 0.2500
Pr 0.0870 0.5811 0.9170
Pr 0.4189 0.9130 0.5830
Pr 0.4989 0.5011 0.7500
Pr 0.5011 0.4989 0.2500
Pr 0.5811 0.0870 0.4170
Pr 0.9130 0.4189 0.0830
Sm 0.0845 0.5814 0.4171
Sm 0.4186 0.9155 0.0829
Sm 0.5814 0.0845 0.9171
Sm 0.9155 0.4186 0.5829

14.
! CaPaC2O8 | Alexandria | PBE | optimized geometry; values from VASP
! E_form (uncorrected) (meV/atom): -1993
! Spin magnetization (μB/f.u.): 1.0
! DOS(E_F) (states/eV/cell): 3.59
! DFT total energy (eV per atom): -7.794
! ρ (g/cm3): 4.67
&SYSTEM
  ibrav = 0, nat = 12, ntyp = 4
/
ATOMIC_SPECIES
Ca 40.08 Ca.upf
Pa 231.04 Pa.upf
C 12.01 C.upf
O 16.00 O.upf
CELL_PARAMETERS angstrom
4.9381 0.0000 0.0000
-2.4691 4.2766 0.0000
0.0000 0.0000 7.1192
ATOMIC_POSITIONS crystal
Ca 0.0000 0.0000 0.0000
Pa 0.0000 0.0000 0.5000
C 0.3333 0.6667 0.7696
C 0.6667 0.3333 0.2304
O 0.1098 0.3701 0.7013
O 0.2603 0.8902 0.7013
O 0.3333 0.6667 0.9596
O 0.3701 0.2603 0.2987
O 0.6299 0.7397 0.7013
O 0.6667 0.3333 0.0404
O 0.7397 0.1098 0.2987
O 0.8902 0.6299 0.2987

15.
! Tb3Y2Er7 | Alexandria | PBE | optimized geometry; values from VASP
! ΔH_f (0 K) (eV per atom): 0.16
! Spin magnetization (μB/f.u.): 0.0
! Polymorph energy (0 for the lowest one) (eV per formula unit): 0.95
! DOS(E_F) (states/eV/cell): 20.48
! DFT total energy (eV per atom): -4.734
! ρ (g/cm3): 7.90
&SYSTEM
  ibrav = 0, nat = 12, ntyp = 3
/
ATOMIC_SPECIES
Tb 158.93 Tb.upf
Y 88.91 Y.upf
Er 167.26 Er.upf
CELL_PARAMETERS angstrom
2.8967 -18.5333 0.0000
2.8967 18.5333 0.0000
0.0000 0.0000 3.5731
ATOMIC_POSITIONS crystal
Tb 0.0000 0.0000 0.0000
Tb 0.1498 0.8502 0.0000
Tb 0.8502 0.1498 0.0000
Y 0.3245 0.6755 0.5000
Y 0.6755 0.3245 0.5000
Er 0.0727 0.9273 0.5000
Er 0.2295 0.7705 0.5000
Er 0.4107 0.5893 0.0000
Er 0.5000 0.5000 0.5000
Er 0.5893 0.4107 0.0000
Er 0.7705 0.2295 0.5000
Er 0.9273 0.0727 0.5000

16.
! HoBS3 | Alexandria | PBE | optimized geometry; values from VASP
! E_form (uncorrected) (meV/atom): -1139
! Spin magnetization (μB/f.u.): 0.0
! DOS(E_F) (states/eV/cell): 0.00
! DFT total energy (eV per atom): -5.866
! ρ (g/cm3): 4.00
&SYSTEM
  ibrav = 0, nat = 20, ntyp = 3
/
ATOMIC_SPECIES
Ho 164.93 Ho.upf
B 10.81 B.upf
S 32.06 S.upf
CELL_PARAMETERS angstrom
7.7603 0.0000 0.0000
0.0000 10.0658 0.0000
0.0000 0.0000 5.7797
ATOMIC_POSITIONS crystal
Ho 0.0000 0.0000 0.0000
Ho 0.0000 0.5000 0.0000
Ho 0.5000 0.0000 0.5000
Ho 0.5000 0.5000 0.5000
B 0.1342 0.2500 0.4839
B 0.3658 0.7500 0.9839
B 0.6342 0.2500 0.0161
B 0.8658 0.7500 0.5161
S 0.0443 0.2500 0.1971
S 0.1849 0.0932 0.6304
S 0.1849 0.4068 0.6304
S 0.3151 0.5932 0.1304
S 0.3151 0.9068 0.1304
S 0.4557 0.7500 0.6971
S 0.5443 0.2500 0.3029
S 0.6849 0.0932 0.8696
S 0.6849 0.4068 0.8696
S 0.8151 0.5932 0.3696
S 0.8151 0.9068 0.3696
S 0.9557 0.7500 0.8029

17.
! CaBeOsO2 | Alexandria | PBE | optimized geometry; values from VASP
! E_form (uncorrected) (meV/atom): 1020
! Spin magnetization (μB/f.u.): 4.3
! DOS(E_F) (states/eV/cell): 4.83
! DFT total energy (eV per atom): -4.354
! ρ (g/cm3): 4.45
&SYSTEM
  ibrav = 0, nat = 5, ntyp = 4
/
ATOMIC_SPECIES
Ca 40.08 Ca.upf
Be 9.01 Be.upf
Os 190.23 Os.upf
O 16.00 O.upf
CELL_PARAMETERS angstrom
4.0962 0.0000 0.0000
0.0000 4.0962 0.0000
0.0000 0.0000 6.0396
ATOMIC_POSITIONS crystal
Ca 0.0000 0.0000 0.0000
Be 0.5000 0.5000 0.5000
Os 0.0000 0.0000 0.5000
O 0.0000 0.5000 0.0000
O 0.5000 0.0000 0.0000

18.
! In2GaCu2Pd5 | Alexandria | PBE | optimized geometry; values from VASP
! ΔH_f (0 K) (eV per atom): -0.32
! Spin magnetization (μB/f.u.): 0.0
! DOS(E_F) (states/eV/cell): 5.97
! DFT total energy (eV per atom): -4.584
! ρ (g/cm3): 9.73
&SYSTEM
  ibrav = 0, nat = 20, ntyp = 4
/
ATOMIC_SPECIES
In 114.82 In.upf
Ga 69.72 Ga.upf
Cu 63.55 Cu.upf
Pd 106.42 Pd.upf
CELL_PARAMETERS angstrom
9.3022 0.0000 0.0000
0.0000 9.3022 0.0000
0.0000 0.0000 3.7813
ATOMIC_POSITIONS crystal
In 0.1650 0.3350 0.0000
In 0.3350 0.8350 0.0000
In 0.6650 0.1650 0.0000
In 0.8350 0.6650 0.0000
Ga 0.0000 0.0000 0.0000
Ga 0.5000 0.5000 0.0000
Cu 0.1298 0.6298 0.0000
Cu 0.3702 0.1298 0.0000
Cu 0.6298 0.8702 0.0000
Cu 0.8702 0.3702 0.0000
Pd 0.0000 0.5000 0.5000
Pd 0.0972 0.8158 0.5000
Pd 0.1842 0.0972 0.5000
Pd 0.3158 0.5972 0.5000
Pd 0.4028 0.3158 0.5000
Pd 0.5000 0.0000 0.5000
Pd 0.5972 0.6842 0.5000
Pd 0.6842 0.4028 0.5000
Pd 0.8158 0.9028 0.5000
Pd 0.9028 0.1842 0.5000

19.
! CaBi2Cl8 | Alexandria | PBE | optimized geometry; values from VASP
! E_form (uncorrected) (meV/atom): -1319
! Spin magnetization (μB/f.u.): 0.0
! DOS(E_F) (states/eV/cell): 0.00
! DFT total energy (eV per atom): -3.550
! ρ (g/cm3): 3.49
&SYSTEM
  ibrav = 0, nat = 11, ntyp = 3
/
ATOMIC_SPECIES
Ca 40.08 Ca.upf
Bi 208.98 Bi.upf
Cl 35.45 Cl.upf
CELL_PARAMETERS angstrom
9.4243 -1.9227 0.0000
9.4243 1.9227 0.0000
-0.1298 0.0000 9.7325
ATOMIC_POSITIONS crystal
Ca 0.0000 0.0000 0.0000
Bi 0.3448 0.3448 0.2717
Bi 0.6552 0.6552 0.7283
Cl 0.0978 0.0978 0.5582
Cl 0.1451 0.1451 0.9514
Cl 0.2613 0.2613 0.6911
Cl 0.4973 0.4973 0.1964
Cl 0.5027 0.5027 0.8036
Cl 0.7387 0.7387 0.3089
Cl 0.8549 0.8549 0.0486
Cl 0.9022 0.9022 0.4418

20.
! Y2TmO | Alexandria | PBE | optimized geometry; values from VASP
! E_form (uncorrected) (meV/atom): -831
! Spin magnetization (μB/f.u.): 0.0
! Polymorph energy (0 for the lowest one) (eV per formula unit): 2.07
! DOS(E_F) (states/eV/cell): 5.29
! DFT total energy (eV per atom): -6.421
! ρ (g/cm3): 6.83
&SYSTEM
  ibrav = 0, nat = 4, ntyp = 3
/
ATOMIC_SPECIES
Y 88.91 Y.upf
Tm 168.93 Tm.upf
O 16.00 O.upf
CELL_PARAMETERS angstrom
3.1905 0.0000 0.0000
0.0000 3.1905 0.0000
0.0000 0.0000 8.6619
ATOMIC_POSITIONS crystal
Y 0.0000 0.0000 0.1770
Y 0.0000 0.0000 0.8230
Tm 0.5000 0.5000 0.5000
O 0.5000 0.5000 0.0000